Entry 1:
An optimized crystal structure of TcRu3W. Source: Alexandria, functional GGA-PBE.

DOS(E_F) = 6.50 states/eV/f.u.
Space-group type = Pm-3m, No. 221
E = -8.34 eV per atom
ΔH_f (0 K) = 43.64 kcal/mol of atoms

a b c (Å): 4.639 4.639 4.639
angles (deg): 90.00 90.00 90.00
Element x y z (fractional)
Tc: 0.000 0.000 0.000
Ru: 0.000 0.500 0.500
Ru: 0.500 0.000 0.500
Ru: 0.500 0.500 0.000
W: 0.500 0.500 0.500

***

Entry 2:
An optimized crystal structure of TcRu3W. Source: Alexandria, functional GGA-PBE.

DOS(E_F) = 4.92 states/eV/f.u.
Space-group type = P-1, No. 2
E = -9.91 eV per atom
ΔH_f (0 K) = 7.27 kcal/mol of atoms

a b c (Å): 5.118 5.123 7.219
angles (deg): 73.04 69.35 60.10
Element x y z (fractional)
Tc: 0.000 0.000 0.000
Tc: 0.500 0.500 0.500
Ru: 0.034 0.601 0.808
Ru: 0.162 0.105 0.569
Ru: 0.444 0.397 0.191
Ru: 0.556 0.603 0.809
Ru: 0.838 0.895 0.431
Ru: 0.966 0.399 0.192
W: 0.454 0.892 0.197
W: 0.546 0.108 0.803

***

Entry 3:
An optimized crystal structure of Tc2RuW. Source: Alexandria, functional GGA-PBE.

DOS(E_F) = 3.53 states/eV/f.u.
Space-group type = Imm2, No. 44
E = -10.55 eV per atom
ΔH_f (0 K) = 4.45 kcal/mol of atoms

a b c (Å): 5.185 5.185 5.185
angles (deg): 145.33 129.64 62.59
Element x y z (fractional)
Tc: 0.000 0.000 0.000
Tc: 0.739 0.239 0.500
Ru: 0.275 0.775 0.500
W: 0.510 0.510 0.000